one:
# PBE InPPtCl2, relaxed
# * total moment: 0.0 Bohr magnetons per cell
data_InPPtCl2
_chemical_formula_sum 'In1 P1 Pt1 Cl2'
_symmetry_space_group_name_H-M 'P 1'
_symmetry_Int_Tables_number 1
_cell_length_a 5.347
_cell_length_b 5.347
_cell_length_c 4.495
_cell_angle_alpha 90.00
_cell_angle_beta 90.00
_cell_angle_gamma 90.00
loop_
_symmetry_equiv_pos_as_xyz
'x,y,z'
loop_
_atom_site_label
_atom_site_type_symbol
_atom_site_fract_x
_atom_site_fract_y
_atom_site_fract_z
_atom_site_occupancy
In1 In 0.000 0.000 0.000 1
P1 P 0.500 0.500 0.000 1
Pt1 Pt 0.500 0.500 0.500 1
Cl1 Cl 0.000 0.500 0.500 1
Cl2 Cl 0.500 0.000 0.500 1


two:
# PBE InPPtCl2, relaxed
# * total moment: 0.9 Bohr magnetons per cell
data_InPPtCl2
_chemical_formula_sum 'In1 P1 Pt1 Cl2'
_symmetry_space_group_name_H-M 'P 1'
_symmetry_Int_Tables_number 1
_cell_length_a 4.891
_cell_length_b 4.891
_cell_length_c 5.458
_cell_angle_alpha 90.00
_cell_angle_beta 90.00
_cell_angle_gamma 90.00
loop_
_symmetry_equiv_pos_as_xyz
'x,y,z'
loop_
_atom_site_label
_atom_site_type_symbol
_atom_site_fract_x
_atom_site_fract_y
_atom_site_fract_z
_atom_site_occupancy
In1 In 0.000 0.000 0.000 1
P1 P 0.000 0.000 0.500 1
Pt1 Pt 0.500 0.500 0.500 1
Cl1 Cl 0.000 0.500 0.000 1
Cl2 Cl 0.500 0.000 0.000 1


Which of them is least stable? Easy: two.


one:
# PBE RbInP2Cl, relaxed
# * total moment: 1.1 Bohr magnetons per cell
data_RbInP2Cl
_chemical_formula_sum 'Rb1 In1 P2 Cl1'
_symmetry_space_group_name_H-M 'P 1'
_symmetry_Int_Tables_number 1
_cell_length_a 5.083
_cell_length_b 5.083
_cell_length_c 5.955
_cell_angle_alpha 90.00
_cell_angle_beta 90.00
_cell_angle_gamma 90.00
loop_
_symmetry_equiv_pos_as_xyz
'x,y,z'
loop_
_atom_site_label
_atom_site_type_symbol
_atom_site_fract_x
_atom_site_fract_y
_atom_site_fract_z
_atom_site_occupancy
Rb1 Rb 0.000 0.000 0.000 1
In1 In 0.500 0.500 0.500 1
P1 P 0.000 0.500 0.500 1
P2 P 0.500 0.000 0.500 1
Cl1 Cl 0.500 0.500 0.000 1


two:
# PBE RbInP2Cl, relaxed
# * total moment: 5.0 Bohr magnetons per cell
data_RbInP2Cl
_chemical_formula_sum 'Rb1 In1 P2 Cl1'
_symmetry_space_group_name_H-M 'P 1'
_symmetry_Int_Tables_number 1
_cell_length_a 6.571
_cell_length_b 6.571
_cell_length_c 6.272
_cell_angle_alpha 90.00
_cell_angle_beta 90.00
_cell_angle_gamma 90.00
loop_
_symmetry_equiv_pos_as_xyz
'x,y,z'
loop_
_atom_site_label
_atom_site_type_symbol
_atom_site_fract_x
_atom_site_fract_y
_atom_site_fract_z
_atom_site_occupancy
Rb1 Rb 0.000 0.000 0.000 1
In1 In 0.500 0.500 0.500 1
P1 P 0.000 0.500 0.000 1
P2 P 0.500 0.000 0.000 1
Cl1 Cl 0.000 0.000 0.500 1


Which of them is least stable? Easy: two.


one:
# PBE InPRhCl2, relaxed
# * total moment: 2.4 Bohr magnetons per cell
data_InPRhCl2
_chemical_formula_sum 'In1 P1 Rh1 Cl2'
_symmetry_space_group_name_H-M 'P 1'
_symmetry_Int_Tables_number 1
_cell_length_a 4.999
_cell_length_b 4.999
_cell_length_c 5.313
_cell_angle_alpha 90.00
_cell_angle_beta 90.00
_cell_angle_gamma 90.00
loop_
_symmetry_equiv_pos_as_xyz
'x,y,z'
loop_
_atom_site_label
_atom_site_type_symbol
_atom_site_fract_x
_atom_site_fract_y
_atom_site_fract_z
_atom_site_occupancy
In1 In 0.000 0.000 0.000 1
P1 P 0.000 0.000 0.500 1
Rh1 Rh 0.500 0.500 0.500 1
Cl1 Cl 0.000 0.500 0.000 1
Cl2 Cl 0.500 0.000 0.000 1


two:
# PBE InPRhCl2, relaxed
# * total moment: 0.0 Bohr magnetons per cell
data_InPRhCl2
_chemical_formula_sum 'In1 P1 Rh1 Cl2'
_symmetry_space_group_name_H-M 'P 1'
_symmetry_Int_Tables_number 1
_cell_length_a 5.179
_cell_length_b 5.179
_cell_length_c 4.434
_cell_angle_alpha 90.00
_cell_angle_beta 90.00
_cell_angle_gamma 90.00
loop_
_symmetry_equiv_pos_as_xyz
'x,y,z'
loop_
_atom_site_label
_atom_site_type_symbol
_atom_site_fract_x
_atom_site_fract_y
_atom_site_fract_z
_atom_site_occupancy
In1 In 0.000 0.000 0.000 1
P1 P 0.500 0.500 0.000 1
Rh1 Rh 0.500 0.500 0.500 1
Cl1 Cl 0.000 0.500 0.500 1
Cl2 Cl 0.500 0.000 0.500 1


Which of them is least stable? Easy: one.


one:
# PBE InP2SCl, relaxed
# * total moment: 2.1 Bohr magnetons per cell
data_InP2SCl
_chemical_formula_sum 'In1 P2 S1 Cl1'
_symmetry_space_group_name_H-M 'P 1'
_symmetry_Int_Tables_number 1
_cell_length_a 5.294
_cell_length_b 5.294
_cell_length_c 4.988
_cell_angle_alpha 90.00
_cell_angle_beta 90.00
_cell_angle_gamma 90.00
loop_
_symmetry_equiv_pos_as_xyz
'x,y,z'
loop_
_atom_site_label
_atom_site_type_symbol
_atom_site_fract_x
_atom_site_fract_y
_atom_site_fract_z
_atom_site_occupancy
In1 In 0.000 0.000 0.000 1
P1 P 0.000 0.500 0.000 1
P2 P 0.500 0.000 0.000 1
S1 S 0.000 0.000 0.500 1
Cl1 Cl 0.500 0.500 0.500 1


two:
# PBE InP2SCl, relaxed
# * total moment: 0.0 Bohr magnetons per cell
data_InP2SCl
_chemical_formula_sum 'In1 P2 S1 Cl1'
_symmetry_space_group_name_H-M 'P 1'
_symmetry_Int_Tables_number 1
_cell_length_a 4.503
_cell_length_b 4.503
_cell_length_c 8.553
_cell_angle_alpha 90.00
_cell_angle_beta 90.00
_cell_angle_gamma 90.00
loop_
_symmetry_equiv_pos_as_xyz
'x,y,z'
loop_
_atom_site_label
_atom_site_type_symbol
_atom_site_fract_x
_atom_site_fract_y
_atom_site_fract_z
_atom_site_occupancy
In1 In 0.000 0.000 0.000 1
P1 P 0.000 0.500 0.500 1
P2 P 0.500 0.000 0.500 1
S1 S 0.500 0.500 0.500 1
Cl1 Cl 0.500 0.500 0.000 1


three:
# PBE InP2SCl, relaxed
# * total moment: 0.2 Bohr magnetons per cell
data_InP2SCl
_chemical_formula_sum 'In1 P2 S1 Cl1'
_symmetry_space_group_name_H-M 'P 1'
_symmetry_Int_Tables_number 1
_cell_length_a 4.751
_cell_length_b 4.751
_cell_length_c 5.136
_cell_angle_alpha 90.00
_cell_angle_beta 90.00
_cell_angle_gamma 90.00
loop_
_symmetry_equiv_pos_as_xyz
'x,y,z'
loop_
_atom_site_label
_atom_site_type_symbol
_atom_site_fract_x
_atom_site_fract_y
_atom_site_fract_z
_atom_site_occupancy
In1 In 0.000 0.000 0.000 1
P1 P 0.000 0.500 0.500 1
P2 P 0.500 0.000 0.500 1
S1 S 0.500 0.500 0.000 1
Cl1 Cl 0.500 0.500 0.500 1


four:
# PBE InP2SCl, relaxed
# * total moment: 1.0 Bohr magnetons per cell
data_InP2SCl
_chemical_formula_sum 'In1 P2 S1 Cl1'
_symmetry_space_group_name_H-M 'P 1'
_symmetry_Int_Tables_number 1
_cell_length_a 5.268
_cell_length_b 5.268
_cell_length_c 4.983
_cell_angle_alpha 90.00
_cell_angle_beta 90.00
_cell_angle_gamma 90.00
loop_
_symmetry_equiv_pos_as_xyz
'x,y,z'
loop_
_atom_site_label
_atom_site_type_symbol
_atom_site_fract_x
_atom_site_fract_y
_atom_site_fract_z
_atom_site_occupancy
In1 In 0.000 0.000 0.000 1
P1 P 0.000 0.500 0.000 1
P2 P 0.500 0.000 0.000 1
S1 S 0.500 0.500 0.500 1
Cl1 Cl 0.000 0.000 0.500 1


Which of them is least stable? Easy: three.


one:
# PBE InPSCl2, relaxed
# * total moment: 0.1 Bohr magnetons per cell
data_InPSCl2
_chemical_formula_sum 'In1 P1 S1 Cl2'
_symmetry_space_group_name_H-M 'P 1'
_symmetry_Int_Tables_number 1
_cell_length_a 4.907
_cell_length_b 4.907
_cell_length_c 5.571
_cell_angle_alpha 90.00
_cell_angle_beta 90.00
_cell_angle_gamma 90.00
loop_
_symmetry_equiv_pos_as_xyz
'x,y,z'
loop_
_atom_site_label
_atom_site_type_symbol
_atom_site_fract_x
_atom_site_fract_y
_atom_site_fract_z
_atom_site_occupancy
In1 In 0.000 0.000 0.000 1
P1 P 0.000 0.000 0.500 1
S1 S 0.500 0.500 0.500 1
Cl1 Cl 0.000 0.500 0.000 1
Cl2 Cl 0.500 0.000 0.000 1


two:
# PBE InPSCl2, relaxed
# * total moment: 0.0 Bohr magnetons per cell
data_InPSCl2
_chemical_formula_sum 'In1 P1 S1 Cl2'
_symmetry_space_group_name_H-M 'P 1'
_symmetry_Int_Tables_number 1
_cell_length_a 5.491
_cell_length_b 5.491
_cell_length_c 4.565
_cell_angle_alpha 90.00
_cell_angle_beta 90.00
_cell_angle_gamma 90.00
loop_
_symmetry_equiv_pos_as_xyz
'x,y,z'
loop_
_atom_site_label
_atom_site_type_symbol
_atom_site_fract_x
_atom_site_fract_y
_atom_site_fract_z
_atom_site_occupancy
In1 In 0.000 0.000 0.000 1
P1 P 0.500 0.500 0.000 1
S1 S 0.500 0.500 0.500 1
Cl1 Cl 0.000 0.500 0.500 1
Cl2 Cl 0.500 0.000 0.500 1


three:
# PBE InPSCl2, relaxed
# * total moment: 0.0 Bohr magnetons per cell
data_InPSCl2
_chemical_formula_sum 'In1 P1 S1 Cl2'
_symmetry_space_group_name_H-M 'P 1'
_symmetry_Int_Tables_number 1
_cell_length_a 5.135
_cell_length_b 5.135
_cell_length_c 4.555
_cell_angle_alpha 90.00
_cell_angle_beta 90.00
_cell_angle_gamma 90.00
loop_
_symmetry_equiv_pos_as_xyz
'x,y,z'
loop_
_atom_site_label
_atom_site_type_symbol
_atom_site_fract_x
_atom_site_fract_y
_atom_site_fract_z
_atom_site_occupancy
In1 In 0.000 0.000 0.000 1
P1 P 0.500 0.500 0.500 1
S1 S 0.500 0.500 0.000 1
Cl1 Cl 0.000 0.500 0.500 1
Cl2 Cl 0.500 0.000 0.500 1


four:
# PBE InPSCl2, relaxed
# * total moment: 1.9 Bohr magnetons per cell
data_InPSCl2
_chemical_formula_sum 'In1 P1 S1 Cl2'
_symmetry_space_group_name_H-M 'P 1'
_symmetry_Int_Tables_number 1
_cell_length_a 5.033
_cell_length_b 5.033
_cell_length_c 5.187
_cell_angle_alpha 90.00
_cell_angle_beta 90.00
_cell_angle_gamma 90.00
loop_
_symmetry_equiv_pos_as_xyz
'x,y,z'
loop_
_atom_site_label
_atom_site_type_symbol
_atom_site_fract_x
_atom_site_fract_y
_atom_site_fract_z
_atom_site_occupancy
In1 In 0.000 0.000 0.000 1
P1 P 0.500 0.500 0.500 1
S1 S 0.000 0.000 0.500 1
Cl1 Cl 0.000 0.500 0.000 1
Cl2 Cl 0.500 0.000 0.000 1


Which of them is least stable? Easy: one.


one:
# PBE ScInP2Cl, relaxed
# * total moment: 0.0 Bohr magnetons per cell
data_ScInP2Cl
_chemical_formula_sum 'Sc1 In1 P2 Cl1'
_symmetry_space_group_name_H-M 'P 1'
_symmetry_Int_Tables_number 1
_cell_length_a 5.049
_cell_length_b 5.049
_cell_length_c 4.972
_cell_angle_alpha 90.00
_cell_angle_beta 90.00
_cell_angle_gamma 90.00
loop_
_symmetry_equiv_pos_as_xyz
'x,y,z'
loop_
_atom_site_label
_atom_site_type_symbol
_atom_site_fract_x
_atom_site_fract_y
_atom_site_fract_z
_atom_site_occupancy
Sc1 Sc 0.000 0.000 0.000 1
In1 In 0.500 0.500 0.500 1
P1 P 0.000 0.500 0.000 1
P2 P 0.500 0.000 0.000 1
Cl1 Cl 0.000 0.000 0.500 1


two:
# PBE ScInP2Cl, relaxed
# * total moment: 0.0 Bohr magnetons per cell
data_ScInP2Cl
_chemical_formula_sum 'Sc1 In1 P2 Cl1'
_symmetry_space_group_name_H-M 'P 1'
_symmetry_Int_Tables_number 1
_cell_length_a 5.167
_cell_length_b 5.167
_cell_length_c 5.187
_cell_angle_alpha 90.00
_cell_angle_beta 90.00
_cell_angle_gamma 90.00
loop_
_symmetry_equiv_pos_as_xyz
'x,y,z'
loop_
_atom_site_label
_atom_site_type_symbol
_atom_site_fract_x
_atom_site_fract_y
_atom_site_fract_z
_atom_site_occupancy
Sc1 Sc 0.000 0.000 0.000 1
In1 In 0.500 0.500 0.500 1
P1 P 0.000 0.500 0.500 1
P2 P 0.500 0.000 0.500 1
Cl1 Cl 0.500 0.500 0.000 1


Which of them is least stable? Easy: two.